1.
Cr2NiP, single point on PBEsol structure, DFT meta-GGA SCAN; DFT total energy = -15.870 eV per atom; magnetization = 0.001 μB per cell; mass density = 7.46 Mg/m³
1.0
2.602 0.000 0.000
0.000 4.279 -0.006
0.000 -1.821 3.872
Cr P Ni
2 1 1
Direct
0.000 0.000 0.500
0.000 0.500 0.000
0.500 0.500 0.500
0.500 0.000 0.000

***

2.
CrNi2P, single point on PBEsol structure, DFT meta-GGA SCAN; DFT total energy = -15.308 eV per atom; magnetization = 0.005 μB per cell; mass density = 7.78 Mg/m³
1.0
-2.260 1.473 -0.472
-1.510 -1.920 1.239
0.699 2.670 4.987
Ni Cr P
2 1 1
Direct
0.000 0.000 0.995
0.500 0.500 0.276
0.500 0.500 0.730
0.000 0.000 0.499

***

3.
CrNi2P, single point on PBEsol structure, DFT meta-GGA SCAN; DFT total energy = -15.394 eV per atom; magnetization = 0.002 μB per cell; mass density = 7.72 Mg/m³
1.0
-0.086 2.246 -1.174
-4.337 0.020 0.355
2.002 0.683 3.899
Ni P Cr
2 1 1
Direct
0.010 0.029 0.020
0.779 0.214 0.559
0.483 0.581 0.966
0.228 0.676 0.456

***

4.
CrNi2P, single point on PBEsol structure, DFT meta-GGA SCAN; DFT total energy = -15.292 eV per atom; magnetization = 2.265 μB per cell; mass density = 7.69 Mg/m³
1.0
-1.905 0.359 1.661
-1.778 -3.718 -1.234
2.770 -0.411 3.265
Ni P Cr
2 1 1
Direct
0.000 0.000 0.500
0.000 0.500 0.000
0.500 0.000 0.000
0.500 0.500 0.500